--- a ---
Compound: TaTi2Cr
Source: the Alexandria database
Functional: PBE-GGA
Structure: optimized geometry

Cell: 6.968 6.968 5.402 Å, 90.00 90.00 90.00°
Space group I-42d (No. 122)
Unique sites:
Ta: 0.000 0.000 0.000 [4 per cell]
Ti: 0.216 0.750 0.625 [8 per cell]
Cr: 0.000 0.000 0.500 [4 per cell]

Output
N(E_F) = 22.02 states/eV per cell
Spin magnetization = 0.0000 μB per atom

=====

--- b ---
Compound: TaTi2Cr
Source: the Alexandria database
Functional: PBE-GGA
Structure: optimized geometry

Cell: 3.041 3.041 6.836 Å, 90.00 90.00 90.00°
Space group P4/mmm (No. 123)
Unique sites:
Ta: 0.000 0.000 0.000 [1 per cell]
Ti: 0.500 0.500 0.286 [2 per cell]
Cr: 0.000 0.000 0.500 [1 per cell]

Output
N(E_F) = 5.82 states/eV per cell
Spin magnetization = 0.0001 μB per atom

=====

--- c ---
Compound: TaTi2Cr
Source: the Alexandria database
Functional: PBE-GGA
Structure: optimized geometry

Cell: 6.350 6.350 6.350 Å, 90.00 90.00 90.00°
Space group Fm-3m (No. 225)
Unique sites:
Ta: 0.000 0.000 0.000 [4 per cell]
Ti: 0.250 0.250 0.250 [8 per cell]
Cr: 0.000 0.000 0.500 [4 per cell]

Output
N(E_F) = 33.88 states/eV per cell
Spin magnetization = 0.4774 μB per atom

=====

The structure with the least stability is a.